No. 1
Density functional theory data (meta-GGA SCAN) for BaLiAu2 at its PBEsol-relaxed geometry.

Cell: 4.4156 4.7816 5.0962 Å, 90.00 92.83 90.00°
With the nearest neighbours (Å) after each atom.
Element x y z (fractional)
Li (0.0460, 0.5000, 0.7902)  4 Au 2.56-2.59
Au (0.9804, 0.0000, 0.9724)  2 Li 2.59, 2 Au 2.88
Au (0.9789, 0.5000, 0.2857)  2 Li 2.56-2.57
Ba (0.4947, 0.0000, 0.4517)  8 Au 3.25-3.58, 2 Li 3.60

Summary:
M_tot = 0.000 μB/atom
Space-group type = No. 6
D(E_F) = 0.332 states/eV/atom
ΔH_f (0 K) = -0.69 eV/atom
Excess energy over the best structure of this formula in the dataset = 10.2 kJ/mol of atoms

***

No. 2
Density functional theory data (meta-GGA SCAN) for BaLi3Au at its PBEsol-relaxed geometry.

Cell: 5.0627 5.0627 5.0627 Å, 90.00 90.00 90.00°
With the nearest neighbours (Å) after each atom.
Element x y z (fractional)
Li (0.5000, 0.0000, 0.0000)  2 Au 2.53
Li (0.0000, 0.0000, 0.5000)  2 Au 2.53
Li (0.0000, 0.5000, 0.0000)  2 Au 2.53
Ba (0.5000, 0.5000, 0.5000)  12 Li 3.58
Au (0.0000, 0.0000, 0.0000)  6 Li 2.53

Summary:
M_tot = 0.000 μB/atom
Space-group type = No. 221
D(E_F) = 0.521 states/eV/atom
ΔH_f (0 K) = -0.31 eV/atom
Excess energy over the best structure of this formula in the dataset = 0.0 kJ/mol of atoms

***

No. 3
Density functional theory data (meta-GGA SCAN) for BaLi2Au at its PBEsol-relaxed geometry.

Cell: 4.0739 4.9169 5.6697 Å, 103.29 90.00 114.47°
With the nearest neighbours (Å) after each atom.
Element x y z (fractional)
Ba (0.0000, 0.0000, 0.5000)  4 Li 3.23-3.41, 4 Au 3.49
Au (0.5000, 0.0000, 0.0000)  6 Li 2.67-2.88
Li (0.8007, 0.6014, 0.9012)  2 Li 2.60, 3 Au 2.67-2.88
Li (0.1993, 0.3986, 0.0988)  2 Li 2.60, 3 Au 2.67-2.88

Summary:
M_tot = 0.000 μB/atom
Space-group type = No. 12
D(E_F) = 0.553 states/eV/atom
ΔH_f (0 K) = -0.43 eV/atom
Excess energy over the best structure of this formula in the dataset = 6.6 kJ/mol of atoms

***

No. 4
Density functional theory data (meta-GGA SCAN) for Ba2Li2Au at its PBEsol-relaxed geometry.

Cell: 4.0191 4.0191 10.4288 Å, 101.11 101.11 90.00°
With the nearest neighbours (Å) after each atom.
Element x y z (fractional)
Ba (0.5922, 0.5922, 0.1843)  4 Au 3.39, 1 Ba 3.70, 4 Li 3.75
Ba (0.4078, 0.4078, 0.8157)  4 Au 3.39, 1 Ba 3.70, 4 Li 3.75
Au (0.0000, 0.0000, 0.0000)  8 Ba 3.39
Li (0.2500, 0.7500, 0.5000)  4 Li 2.84
Li (0.7500, 0.2500, 0.5000)  4 Li 2.84

Summary:
M_tot = 0.012 μB/atom
Space-group type = No. 139
D(E_F) = 0.567 states/eV/atom
ΔH_f (0 K) = -0.32 eV/atom

***

No. 5
Density functional theory data (meta-GGA SCAN) for Ba2LiMgAu at its PBEsol-relaxed geometry.

Cell: 4.9388 6.2615 6.2615 Å, 90.00 90.00 90.00°
With the nearest neighbours (Å) after each atom.
Element x y z (fractional)
Ba (0.0000, 0.5000, 0.0000)  2 Au 3.13
Ba (0.0000, 0.0000, 0.5000)  2 Au 3.13
Au (0.0000, 0.0000, 0.0000)  2 Li 2.47
Li (0.5000, 0.0000, 0.0000)  2 Au 2.47
Mg (0.5000, 0.5000, 0.5000)  8 Ba 3.99, 4 Li 4.43

Summary:
M_tot = 0.000 μB/atom
Space-group type = No. 123
D(E_F) = 0.618 states/eV/atom
ΔH_f (0 K) = -0.31 eV/atom

***

No. 6
Density functional theory data (meta-GGA SCAN) for BaMgAu2 at its PBEsol-relaxed geometry.

Cell: 3.5970 3.5970 7.3230 Å, 90.00 90.00 90.00°
With the nearest neighbours (Å) after each atom.
Element x y z (fractional)
Au (0.0000, 0.0000, 0.3084)  1 Au 2.81, 4 Mg 2.90
Au (0.0000, 0.0000, 0.6916)  1 Au 2.81, 4 Mg 2.90
Mg (0.5000, 0.5000, 0.5000)  8 Au 2.90
Ba (0.5000, 0.5000, 0.0000)  8 Au 3.40, 4 Ba 3.60, 2 Mg 3.66

Summary:
M_tot = 0.000 μB/atom
Space-group type = No. 123
D(E_F) = 0.427 states/eV/atom
ΔH_f (0 K) = -0.70 eV/atom

***

> M_tot of number 4 (Ba2Li2Au)?

0.012 μB/atom